Entry from Alexandria via LeMat-Bulk: crystalline Pm2BeAlO6 at its relaxed geometry (GGA-PBE).

Lattice parameters (Å, degrees): 5.2848 5.2848 5.3333 119.81 119.81 57.33
Sites, in units of the cell vectors:
Pm 0.2465 0.2465 0.2439
Pm 0.7535 0.7535 0.7561
Be 0.5000 0.5000 0.0000
Al 0.0000 0.0000 0.5000
O 0.2226 0.7127 0.2120
O 0.2451 0.2451 0.6815
O 0.2873 0.7774 0.7880
O 0.7127 0.2226 0.2120
O 0.7549 0.7549 0.3185
O 0.7774 0.2873 0.7880

As for the uncorrected formation energy: -2.848 eV/atom.

Entry from Alexandria via LeMat-Bulk: crystalline Pm3BeAl2O9 at its relaxed geometry (GGA-PBE).

Lattice parameters (Å, degrees): 5.2583 5.2583 6.4791 90.00 90.00 120.00
Sites, in units of the cell vectors:
Pm 0.0000 0.0000 0.0000
Pm 0.3333 0.6667 0.6552
Pm 0.6667 0.3333 0.3448
Be 0.0000 0.0000 0.5000
Al 0.3333 0.6667 0.1670
Al 0.6667 0.3333 0.8330
O 0.0000 0.5000 0.0000
O 0.1652 0.3305 0.3356
O 0.1652 0.8348 0.3356
O 0.3305 0.1652 0.6644
O 0.5000 0.0000 0.0000
O 0.5000 0.5000 0.0000
O 0.6695 0.8348 0.3356
O 0.8348 0.1652 0.6644
O 0.8348 0.6695 0.6644

As for the uncorrected formation energy: -2.964 eV/atom.

Entry from Alexandria via LeMat-Bulk: crystalline RbBeAlO2 at its relaxed geometry (GGA-PBE).

Lattice parameters (Å, degrees): 3.8004 3.8004 6.2227 90.00 90.00 90.00
Sites, in units of the cell vectors:
Rb 0.0000 0.0000 0.0000
Be 0.5000 0.5000 0.0000
Al 0.0000 0.0000 0.5000
O 0.0000 0.5000 0.5000
O 0.5000 0.0000 0.5000

As for the uncorrected formation energy: -0.126 eV/atom.